First-principles (PBE+U) data for Y2NiCF after structural relaxation, as listed in Alexandria via LeMat-Bulk.

a = 4.6566 Å, b = 4.6566 Å, c = 3.8661 Å
α = 90.00°, β = 90.00°, γ = 90.00°
Fractional positions:
Y 0.5000 0.0000 0.0000
Y 0.0000 0.5000 0.0000
Ni 0.0000 0.0000 0.5000
C 0.5000 0.5000 0.5000
F 0.0000 0.0000 0.0000

Calculated values
- D(E_F): 2.4 states/eV/cell
- Uncorrected energy: -5.32 eV per atom